A geometry-optimized Sc3TaN4 structure. Source: Alexandria via LeMat-Bulk, functional PBE.

Geometry as POSCAR:
```
Sc3TaN4
1.0
-1.837 1.747 -1.876
-4.260 -0.907 3.327
2.630 4.522 1.634
Sc N Ta
3 4 1
direct
0.000 0.000 0.500
0.500 0.500 0.500
0.000 0.500 0.000
0.000 0.243 0.243
0.500 0.756 0.244
0.000 0.757 0.757
0.500 0.244 0.756
0.500 0.000 0.000
```

Summary:
**DOS at the Fermi energy**: 2.29 states/eV per cell
**Energy relative to the lowest polymorph listed for this composition**: 0.000 eV per formula unit
**Final energy**: -9.79 eV per atom
**Theoretical density**: 6.90 g cm⁻³
**Magnetic moment**: 0.0 μB/f.u.
**ΔE_f (raw)**: -1.7701 eV per atom

---

A geometry-optimized Sc2TaN structure. Source: Alexandria via LeMat-Bulk, functional PBE.

Geometry as POSCAR:
```
Sc2TaN
1.0
1.785 0.000 8.220
-0.893 1.546 8.220
-0.893 -1.546 8.220
Sc N Ta
2 1 1
direct
0.884 0.884 0.884
0.116 0.116 0.116
0.500 0.500 0.500
0.000 0.000 0.000
```

Summary:
**DOS at the Fermi energy**: 3.20 states/eV per cell
**Final energy**: -8.80 eV per atom
**Theoretical density**: 6.95 g cm⁻³
**Magnetic moment**: 0.5 μB/f.u.
**ΔE_f (raw)**: -0.5946 eV per atom

---

A geometry-optimized Sc4TaN5 structure. Source: Alexandria via LeMat-Bulk, functional PBE.

Geometry as POSCAR:
```
Sc4TaN5
1.0
-0.462 2.642 -1.673
-3.720 -1.760 -1.752
-2.163 2.600 7.690
Sc Ta N
4 1 5
direct
0.399 0.399 0.798
0.800 0.800 0.601
0.200 0.200 0.399
0.601 0.601 0.202
0.000 0.000 0.000
0.596 0.096 0.193
0.800 0.300 0.600
0.200 0.700 0.400
0.000 0.500 0.000
0.404 0.904 0.807
```

Summary:
**DOS at the Fermi energy**: 2.17 states/eV per cell
**Final energy**: -9.68 eV per atom
**Theoretical density**: 6.37 g cm⁻³
**Magnetic moment**: 0.0 μB/f.u.
**ΔE_f (raw)**: -1.7961 eV per atom

---

A geometry-optimized Sc2Ta2N3 structure. Source: Alexandria via LeMat-Bulk, functional PBE.

Geometry as POSCAR:
```
Sc2Ta2N3
1.0
-0.311 -1.495 -2.724
3.012 -4.093 1.903
-5.717 0.551 2.141
Sc Ta N
2 2 3
direct
0.372 0.541 0.743
0.628 0.459 0.257
0.126 0.932 0.251
0.874 0.068 0.749
0.000 0.500 0.000
0.739 0.231 0.478
0.261 0.769 0.522
```

Summary:
**DOS at the Fermi energy**: 3.76 states/eV per cell
**Final energy**: -10.06 eV per atom
**Theoretical density**: 9.30 g cm⁻³
**Magnetic moment**: 0.0 μB/f.u.
**ΔE_f (raw)**: -1.2938 eV per atom

---

A geometry-optimized ScTaN3 structure. Source: Alexandria via LeMat-Bulk, functional PBE.

Geometry as POSCAR:
```
ScTaN3
1.0
3.913 0.000 0.000
0.000 3.913 0.000
0.000 0.000 3.913
Sc N Ta
1 3 1
direct
0.000 0.000 0.000
0.000 0.500 0.000
0.000 0.000 0.500
0.500 0.000 0.000
0.500 0.500 0.500
```

Summary:
**DOS at the Fermi energy**: 2.60 states/eV per cell
**Final energy**: -7.79 eV per atom
**Theoretical density**: 7.42 g cm⁻³
**Magnetic moment**: 0.0 μB/f.u.
**ΔE_f (raw)**: 0.8430 eV per atom

---

A geometry-optimized Sc2TaN3 structure. Source: Alexandria via LeMat-Bulk, functional PBE.

Geometry as POSCAR:
```
Sc2TaN3
1.0
-0.149 -3.882 -2.154
4.879 -2.079 3.408
-5.993 -3.384 6.513
Sc Ta N
8 4 12
direct
0.250 0.878 0.748
0.250 0.378 0.752
0.250 0.874 0.417
0.250 0.374 0.083
0.750 0.626 0.917
0.750 0.126 0.583
0.750 0.622 0.248
0.750 0.122 0.252
0.250 0.873 0.088
0.250 0.373 0.412
0.750 0.627 0.588
0.750 0.127 0.912
0.250 0.621 0.582
0.250 0.121 0.918
0.250 0.633 0.920
0.250 0.133 0.580
0.250 0.625 0.250
0.250 0.125 0.250
0.750 0.875 0.750
0.750 0.375 0.750
0.750 0.867 0.420
0.750 0.367 0.080
0.750 0.879 0.082
0.750 0.379 0.418
```

Summary:
**DOS at the Fermi energy**: 4.93 states/eV per cell
**Final energy**: -9.93 eV per atom
**Theoretical density**: 7.83 g cm⁻³
**Magnetic moment**: 0.0 μB/f.u.
**ΔE_f (raw)**: -1.6840 eV per atom

---

A geometry-optimized Sc2TaN structure. Source: Alexandria via LeMat-Bulk, functional PBE.

Geometry as POSCAR:
```
Sc2TaN
1.0
-6.226 3.767 4.920
-3.790 3.469 7.124
-3.850 6.050 5.071
Sc N Ta
2 1 1
direct
0.928 0.928 0.928
0.072 0.072 0.072
0.000 0.000 0.000
0.500 0.500 0.500
```

Summary:
**DOS at the Fermi energy**: 4.25 states/eV per cell
**Final energy**: -7.88 eV per atom
**Theoretical density**: 5.86 g cm⁻³
**Magnetic moment**: 0.0 μB/f.u.
**ΔE_f (raw)**: 0.3333 eV per atom

---

A geometry-optimized TbScTaN3 structure. Source: Alexandria via LeMat-Bulk, functional PBE.

Geometry as POSCAR:
```
TbScTaN3
1.0
-0.117 3.258 -0.361
-1.503 0.689 6.706
7.938 0.466 1.620
Tb Sc Ta N
2 2 2 6
direct
0.750 0.854 0.853
0.250 0.146 0.147
0.250 0.605 0.141
0.750 0.395 0.859
0.250 0.169 0.599
0.750 0.831 0.401
0.250 0.677 0.405
0.750 0.871 0.154
0.750 0.383 0.124
0.750 0.323 0.595
0.250 0.617 0.876
0.250 0.129 0.846
```

Summary:
**DOS at the Fermi energy**: 0.79 states/eV per cell
**Final energy**: -9.19 eV per atom
**Theoretical density**: 7.71 g cm⁻³
**Magnetic moment**: 0.0 μB/f.u.
**ΔE_f (raw)**: -1.2291 eV per atom

---

A geometry-optimized ScTaTe2N structure. Source: Alexandria via LeMat-Bulk, functional PBE.

Geometry as POSCAR:
```
ScTaTe2N
1.0
5.557 0.000 0.000
0.000 5.557 0.000
0.000 0.000 3.898
Sc N Te Ta
1 1 2 1
direct
0.500 0.500 0.500
0.000 0.000 0.500
0.000 0.500 0.000
0.500 0.000 0.000
0.000 0.000 0.000
```

Summary:
**DOS at the Fermi energy**: 3.30 states/eV per cell
**Energy relative to the lowest polymorph listed for this composition**: 0.000 eV per formula unit
**Final energy**: -6.78 eV per atom
**Theoretical density**: 6.83 g cm⁻³
**Magnetic moment**: 0.2 μB/f.u.
**ΔE_f (raw)**: -0.2175 eV per atom

---

A geometry-optimized ScTaTe2N structure. Source: Alexandria via LeMat-Bulk, functional PBE.

Geometry as POSCAR:
```
ScTaTe2N
1.0
-4.889 1.492 -2.206
0.317 -4.253 -3.579
-1.808 -2.234 2.495
Sc N Te Ta
1 1 2 1
direct
0.000 0.000 0.000
0.000 0.000 0.500
0.000 0.500 0.000
0.500 0.000 0.000
0.500 0.500 0.500
```

Summary:
**DOS at the Fermi energy**: 5.65 states/eV per cell
**Energy relative to the lowest polymorph listed for this composition**: 4.255 eV per formula unit
**Final energy**: -5.92 eV per atom
**Theoretical density**: 6.97 g cm⁻³
**Magnetic moment**: 2.2 μB/f.u.
**ΔE_f (raw)**: 0.6336 eV per atom

---

A geometry-optimized Sc3TaTi2N6 structure. Source: Alexandria via LeMat-Bulk, functional PBE.

Geometry as POSCAR:
```
Sc3TaTi2N6
1.0
5.368 0.001 -0.001
-2.681 4.650 -0.001
-0.897 -1.552 5.118
Sc Ta Ti N
3 1 2 6
direct
0.168 0.832 0.500
0.832 0.168 0.500
0.500 0.500 0.500
0.000 0.000 0.000
0.333 0.667 0.000
0.667 0.333 0.000
0.920 0.587 0.761
0.746 0.746 0.239
0.080 0.413 0.239
0.587 0.920 0.761
0.254 0.254 0.761
0.413 0.080 0.239
```

Summary:
**DOS at the Fermi energy**: 5.05 states/eV per cell
**Final energy**: -9.79 eV per atom
**Theoretical density**: 6.44 g cm⁻³
**Magnetic moment**: 0.0 μB/f.u.
**ΔE_f (raw)**: -1.7410 eV per atom

---

A geometry-optimized Sc4Ta3TiN8 structure. Source: Alexandria via LeMat-Bulk, functional PBE.

Geometry as POSCAR:
```
Sc4Ta3TiN8
1.0
6.240 0.000 0.000
0.000 6.295 0.034
-3.120 -3.117 4.414
Sc Ta Ti N
4 3 1 8
direct
0.500 0.000 0.000
0.500 0.000 0.500
0.000 0.000 0.000
0.000 0.000 0.500
0.500 0.500 0.000
0.500 0.500 0.500
0.000 0.500 0.500
0.000 0.500 0.000
0.247 0.742 0.995
0.247 0.742 0.494
0.252 0.255 0.503
0.748 0.742 0.995
0.252 0.258 0.005
0.748 0.745 0.497
0.753 0.258 0.506
0.753 0.258 0.005
```

Summary:
**DOS at the Fermi energy**: 7.00 states/eV per cell
**Final energy**: -10.07 eV per atom
**Theoretical density**: 8.42 g cm⁻³
**Magnetic moment**: 0.0 μB/f.u.
**ΔE_f (raw)**: -1.6098 eV per atom

---

A geometry-optimized ScTa3Ti2N6 structure. Source: Alexandria via LeMat-Bulk, functional PBE.

Geometry as POSCAR:
```
ScTa3Ti2N6
1.0
5.354 0.003 0.000
-2.673 4.639 0.000
-0.894 -1.548 5.069
Sc Ta Ti N
1 3 2 6
direct
0.000 0.000 0.000
0.170 0.830 0.500
0.830 0.170 0.500
0.500 0.500 0.500
0.332 0.668 0.000
0.668 0.332 0.000
0.917 0.582 0.753
0.745 0.745 0.249
0.083 0.418 0.247
0.582 0.917 0.753
0.255 0.255 0.751
0.418 0.083 0.247
```

Summary:
**DOS at the Fermi energy**: 5.50 states/eV per cell
**Final energy**: -10.35 eV per atom
**Theoretical density**: 10.12 g cm⁻³
**Magnetic moment**: 0.0 μB/f.u.
**ΔE_f (raw)**: -1.3831 eV per atom

---

A geometry-optimized Sc2TaTiN4 structure. Source: Alexandria via LeMat-Bulk, functional PBE.

Geometry as POSCAR:
```
Sc2TaTiN4
1.0
3.106 0.000 0.000
0.000 5.383 0.096
0.000 -1.880 5.104
Sc Ta Ti N
2 1 1 4
direct
0.500 0.000 0.500
0.000 0.500 0.500
0.500 0.500 0.000
0.000 0.000 0.000
0.500 0.246 0.239
0.500 0.754 0.761
0.000 0.252 0.759
0.000 0.748 0.241
```

Summary:
**DOS at the Fermi energy**: 2.10 states/eV per cell
**Final energy**: -9.91 eV per atom
**Theoretical density**: 7.25 g cm⁻³
**Magnetic moment**: 0.0 μB/f.u.
**ΔE_f (raw)**: -1.6940 eV per atom

---

A geometry-optimized Sc2Ta3TiN6 structure. Source: Alexandria via LeMat-Bulk, functional PBE.

Geometry as POSCAR:
```
Sc2Ta3TiN6
1.0
5.387 0.000 -0.003
-2.692 4.665 -0.003
-0.901 -1.561 5.130
Sc Ta Ti N
2 3 1 6
direct
0.333 0.667 0.000
0.667 0.333 0.000
0.165 0.835 0.500
0.835 0.165 0.500
0.500 0.500 0.500
0.000 0.000 0.000
0.916 0.586 0.748
0.755 0.755 0.253
0.084 0.414 0.252
0.586 0.916 0.748
0.245 0.245 0.747
0.414 0.084 0.252
```

Summary:
**DOS at the Fermi energy**: 3.29 states/eV per cell
**Final energy**: -10.29 eV per atom
**Theoretical density**: 9.85 g cm⁻³
**Magnetic moment**: 0.0 μB/f.u.
**ΔE_f (raw)**: -1.4549 eV per atom

---

A geometry-optimized ScTaTi2N4 structure. Source: Alexandria via LeMat-Bulk, functional PBE.

Geometry as POSCAR:
```
ScTaTi2N4
1.0
-0.376 1.781 2.485
-3.330 -3.617 2.088
4.960 -1.099 1.539
Sc Ta Ti N
1 1 2 4
direct
0.500 0.500 0.000
0.000 0.000 0.000
0.500 0.000 0.500
0.000 0.500 0.500
0.500 0.249 0.256
0.500 0.751 0.744
0.000 0.243 0.742
0.000 0.757 0.258
```

Summary:
**DOS at the Fermi energy**: 3.72 states/eV per cell
**Final energy**: -10.01 eV per atom
**Theoretical density**: 7.60 g cm⁻³
**Magnetic moment**: 0.0 μB/f.u.
**ΔE_f (raw)**: -1.5995 eV per atom

---

A geometry-optimized ScTaTl2N structure. Source: Alexandria via LeMat-Bulk, functional PBE.

Geometry as POSCAR:
```
ScTaTl2N
1.0
5.697 0.000 0.000
0.000 3.710 0.000
0.000 0.000 5.697
Sc Tl N Ta
1 2 1 1
direct
0.000 0.000 0.000
0.000 0.000 0.500
0.500 0.000 0.000
0.000 0.500 0.000
0.500 0.500 0.500
```

Summary:
**DOS at the Fermi energy**: 4.72 states/eV per cell
**Final energy**: -5.18 eV per atom
**Theoretical density**: 8.95 g cm⁻³
**Magnetic moment**: 0.0 μB/f.u.
**ΔE_f (raw)**: 1.0712 eV per atom

---

A geometry-optimized Sc2TaTlN structure. Source: Alexandria via LeMat-Bulk, functional PBE.

Geometry as POSCAR:
```
Sc2TaTlN
1.0
4.569 0.000 0.000
0.000 4.569 0.000
0.000 0.000 4.175
Sc Tl N Ta
2 1 1 1
direct
0.000 0.500 0.000
0.500 0.000 0.000
0.500 0.500 0.500
0.000 0.000 0.000
0.000 0.000 0.500
```

Summary:
**DOS at the Fermi energy**: 2.69 states/eV per cell
**Final energy**: -7.77 eV per atom
**Theoretical density**: 9.32 g cm⁻³
**Magnetic moment**: 0.0 μB/f.u.
**ΔE_f (raw)**: -0.7274 eV per atom

---

A geometry-optimized Tm2ScTaN4 structure. Source: Alexandria via LeMat-Bulk, functional PBE.

Geometry as POSCAR:
```
Tm2ScTaN4
1.0
-0.369 2.578 1.939
-5.596 -0.504 -0.396
1.833 -3.049 4.404
Tm Sc Ta N
2 1 1 4
direct
0.500 0.000 0.500
0.000 0.500 0.500
0.500 0.500 0.000
0.000 0.000 0.000
0.500 0.238 0.230
0.500 0.762 0.770
0.000 0.247 0.768
0.000 0.753 0.232
```

Summary:
**DOS at the Fermi energy**: 2.03 states/eV per cell
**Final energy**: -9.24 eV per atom
**Theoretical density**: 10.52 g cm⁻³
**Magnetic moment**: 0.0 μB/f.u.
**ΔE_f (raw)**: -1.6874 eV per atom

---

A geometry-optimized TmSc2Ta3N6 structure. Source: Alexandria via LeMat-Bulk, functional PBE.

Geometry as POSCAR:
```
TmSc2Ta3N6
1.0
5.481 -0.005 0.003
-2.744 4.745 0.003
-0.910 -1.575 5.234
Tm Sc Ta N
1 2 3 6
direct
0.000 0.000 0.000
0.333 0.667 0.000
0.667 0.333 0.000
0.172 0.828 0.500
0.828 0.172 0.500
0.500 0.500 0.500
0.912 0.574 0.740
0.748 0.748 0.263
0.088 0.426 0.260
0.574 0.912 0.740
0.252 0.252 0.737
0.426 0.088 0.260
```

Summary:
**DOS at the Fermi energy**: 3.10 states/eV per cell
**Final energy**: -10.05 eV per atom
**Theoretical density**: 10.80 g cm⁻³
**Magnetic moment**: 0.0 μB/f.u.
**ΔE_f (raw)**: -1.4954 eV per atom